The following is a PBE-GGA calculation of a relaxed structure of RbIn3Hg, from Alexandria via LeMat-Bulk.

The structure belongs to space group Pm-3m (No. 221); the cell edges are 6.657, 6.657 and 6.657 Å and the angles 90.00°, 90.00° and 90.00°. The inequivalent atoms are Rb at (0.000, 0.000, 0.000), In at (0.000, 0.000, 0.500) and Hg at (0.500, 0.500, 0.500).

As for the crystal system: cubic. The total energy is -1.0270 eV per atom. The value obtained for the calculated formation energy is 4.350 eV/f.u. For the excess energy over the best structure of this formula in the dataset, the calculation gives 998 meV/atom.

The following is a PBE-GGA calculation of a relaxed structure of RbIn3Hg3, from Alexandria via LeMat-Bulk.

The structure belongs to space group P6_3/m (No. 176); the cell edges are 9.3216, 9.3216 and 5.8736 Å and the angles 90.00°, 90.00° and 120.00°. The inequivalent atoms are Rb at (0.3333, 0.6667, 0.2500), In at (0.1132, 0.2278, 0.7500) and Hg at (0.0873, 0.5441, 0.7500).

As for the crystal system: hexagonal. The total energy is -1.5023 eV per atom. The value obtained for the calculated formation energy is -0.428 eV/f.u. For the excess energy over the best structure of this formula in the dataset, the calculation gives 17 meV/atom.

The following is a PBE-GGA calculation of a relaxed structure of RbIn2Hg9, from Alexandria via LeMat-Bulk.

The structure belongs to space group I4_1/amd (No. 141, origin choice 2); the cell edges are 12.919, 12.919 and 8.332 Å and the angles 90.00°, 90.00° and 90.00°. The inequivalent atoms are Rb at (0.000, 0.250, 0.375), In at (0.000, 0.000, 0.000), Hg at (0.000, 0.250, 0.875) and Hg at (0.120, 0.050, 0.668).

As for the crystal system: tetragonal. The total energy is -0.8422 eV per atom. The value obtained for the calculated formation energy is -0.946 eV/f.u. For the excess energy over the best structure of this formula in the dataset, the calculation gives 0 meV/atom.

The following is a PBE-GGA calculation of a relaxed structure of RbIn2Hg7, from Alexandria via LeMat-Bulk.

The structure belongs to space group Cmmm (No. 65); the cell edges are 6.353, 27.353 and 3.483 Å and the angles 90.00°, 90.00° and 90.00°. The inequivalent atoms are Rb at (0.000, 0.000, 0.000), In at (0.000, 0.291, 0.500), Hg at (0.000, 0.196, 0.000), Hg at (0.000, 0.500, 0.500) and Hg at (0.250, 0.107, 0.500).

As for the crystal system: orthorhombic. The total energy is -0.9034 eV per atom. The value obtained for the calculated formation energy is -0.477 eV/f.u. For the excess energy over the best structure of this formula in the dataset, the calculation gives 0 meV/atom.

The following is a PBE-GGA calculation of a relaxed structure of RbInHg3, from Alexandria via LeMat-Bulk.

The structure belongs to space group Pm-3m (No. 221); the cell edges are 5.754, 5.754 and 5.754 Å and the angles 90.00°, 90.00° and 90.00°. The inequivalent atoms are Rb at (0.000, 0.000, 0.000), In at (0.500, 0.500, 0.500) and Hg at (0.000, 0.500, 0.500).

As for the crystal system: cubic. The total energy is -1.0091 eV per atom. The value obtained for the calculated formation energy is -0.434 eV/f.u. For the excess energy over the best structure of this formula in the dataset, the calculation gives 50 meV/atom.

The following is a PBE-GGA calculation of a relaxed structure of RbInHg17, from Alexandria via LeMat-Bulk.

The structure belongs to space group R3m (No. 160, hexagonal axes); the cell edges are 10.2244, 10.2244 and 18.4009 Å and the angles 90.00°, 90.00° and 120.00°. The inequivalent atoms are Rb at (0.0000, 0.0000, 0.0000), In at (0.0000, 0.0000, 0.6918), Hg at (0.0000, 0.0000, 0.2959), Hg at (0.0000, 0.0000, 0.4646), Hg at (0.0045, 0.3095, 0.3617), Hg at (0.0535, 0.5268, 0.2289), Hg at (0.0843, 0.5421, 0.8427) and Hg at (0.0928, 0.5464, 0.4982).

As for the crystal system: trigonal. The total energy is -0.5126 eV per atom. The value obtained for the calculated formation energy is -0.903 eV/f.u.

Among the records above, which one has the highest calculated formation energy? RbIn3Hg

The lowest calculated formation energy belongs to which entry? RbIn2Hg9